# Ga2H6Ir

Crystalline Ga2H6Ir at its relaxed geometry (GGA-PBE, Alexandria).

Cell lengths 4.976, 4.976, 4.976 Å; angles 60.00, 60.00, 60.00 degrees
Sites, in units of the cell vectors:
Ga  0.250  0.250  0.250
Ga  0.750  0.750  0.750
H  0.242  0.242  0.758
H  0.242  0.758  0.242
H  0.242  0.758  0.758
H  0.758  0.242  0.242
H  0.758  0.242  0.758
H  0.758  0.758  0.242
Ir  0.000  0.000  0.000

Properties
Symmetry = Fm-3m (225)

# Y2ZnNiPb

Crystalline Y2ZnNiPb at its relaxed geometry (GGA-PBE, Alexandria).

Cell lengths 5.185, 5.185, 4.621 Å; angles 90.00, 90.00, 90.00 degrees
Sites, in units of the cell vectors:
Y  0.000  0.500  0.000
Y  0.500  0.000  0.000
Zn  0.000  0.000  0.500
Ni  0.000  0.000  0.000
Pb  0.500  0.500  0.500

Properties
Symmetry = P4/mmm (123)
DFT formation energy = -1.34 eV/f.u.

no.,total energy (eV per atom)
1,-3.71
2,-5.01